# RbCeBiO5

A relaxed RbCeBiO5 crystal (PBE, Alexandria via LeMat-Bulk).

Cell and atoms, written as POSCAR:
```
RbCeBiO5
1.0
3.966 -5.339 0.000
3.966 5.339 0.000
-3.366 0.000 7.545
Rb Ce Bi O
2 2 2 10
Cartesian
1.441 3.487 5.659
3.125 -3.487 1.886
3.966 0.000 0.000
2.283 0.000 3.772
3.125 3.344 1.886
1.441 -3.344 5.659
-1.513 0.754 6.923
1.874 2.178 3.002
0.170 -0.754 3.150
4.375 2.178 0.770
1.441 0.550 5.659
3.125 -0.550 1.886
0.191 -2.178 6.775
4.396 0.754 4.395
2.692 -2.178 4.543
6.079 -0.754 0.622
```

- volume (A^3/atom) = 19.97
- formation energy (no corrections) (eV/f.u.) = -15.00
- crystal system = monoclinic
- total energy (eV per atom) = -6.321

***

# UNb2Co

A relaxed UNb2Co crystal (PBE, Alexandria via LeMat-Bulk).

Cell and atoms, written as POSCAR:
```
UNb2Co
1.0
3.353 0.000 0.000
0.000 3.353 0.000
0.000 0.000 6.062
U Nb Co
1 2 1
Cartesian
0.000 0.000 0.000
1.676 1.676 1.579
1.676 1.676 4.483
0.000 0.000 3.031
```

- energy relative to the lowest polymorph listed for this composition (meV/atom) = 0.0
- ΔE_f (meV/atom) = 268
- volume (A^3/atom) = 17.04
- crystal system = tetragonal
- total energy (eV per atom) = -9.366

***

# BeFe

A relaxed BeFe crystal (PBE, Alexandria via LeMat-Bulk).

Cell and atoms, written as POSCAR:
```
BeFe
1.0
3.258 0.000 0.000
-1.629 2.822 0.000
0.000 0.000 4.390
Be Fe
2 2
Cartesian
0.000 0.000 0.000
0.000 0.000 2.195
0.000 1.881 1.098
1.629 0.941 3.293
```

- ΔE_f (meV/atom) = 227
- volume (A^3/atom) = 10.09
- crystal system = hexagonal
- total energy (eV per atom) = -5.868

***

# AlAs3Ir

A relaxed AlAs3Ir crystal (PBE, Alexandria via LeMat-Bulk).

Cell and atoms, written as POSCAR:
```
AlAs3Ir
1.0
4.677 0.000 0.000
0.000 4.677 0.000
0.000 0.000 4.677
Al As Ir
1 3 1
Cartesian
0.000 0.000 0.000
0.000 0.000 2.339
0.000 2.339 0.000
2.339 0.000 0.000
2.339 2.339 2.339
```

- ΔE_f (meV/atom) = 1063
- volume (A^3/atom) = 20.46
- crystal system = cubic
- total energy (eV per atom) = -4.247

***

Which of these has the highest volume?
AlAs3Ir

***

The highest volume belongs to which entry?
AlAs3Ir

***

Among the records above, which one has the highest total energy?
AlAs3Ir